[1]
PaNb2BC4: optimized geometry, PBE.

Computed properties:
energy of formation = -0.266 eV/atom
total magnetization = 0.000 μB per atom
uncorrected energy = -9.417 eV/atom

Lattice parameters (Å, degrees): 3.177 10.561 10.728 90.00 90.00 90.00
Space group Cmcm (No. 63)
Asymmetric unit:
Pa 0.000 0.098 0.250
Nb 0.000 0.367 0.047
B 0.000 0.173 0.750
C 0.000 0.000 0.000
C 0.000 0.267 0.628
C 0.000 0.419 0.250

---

[2]
SeBr: optimized geometry, PBE.

Computed properties:
formation energy (no corrections) = 0.0230 eV/atom
total magnetization = 0.000 μB per atom
uncorrected energy = -2.556 eV/atom

Lattice parameters (Å, degrees): 3.8695 3.8695 26.5645 90.00 90.00 120.00
Space group P-3m1 (No. 164)
Asymmetric unit:
Se 0.0000 0.0000 0.1948
Se 0.3333 0.6667 0.1393
Se 0.3333 0.6667 0.4722
Br 0.0000 0.0000 0.4011
Br 0.3333 0.6667 0.7341
Br 0.3333 0.6667 0.9318

---

[3]
Tc2I3Br4: optimized geometry, PBE.

Computed properties:
formation energy (no corrections) = -0.1737 eV/atom
total magnetization = 0.257 μB per atom
uncorrected energy = -3.737 eV/atom

Lattice parameters (Å, degrees): 6.578 10.459 11.243 117.63 101.28 90.00
Space group P-1 (No. 2)
Asymmetric unit:
Tc 0.005 0.140 0.009
Tc 0.495 0.631 0.991
I 0.103 0.582 0.832
I 0.250 0.996 0.500
I 0.397 0.250 0.168
Br 0.094 0.919 0.820
Br 0.128 0.263 0.873
Br 0.372 0.890 0.127
Br 0.406 0.598 0.180

---

> The lowest uncorrected energy belongs to which entry?

PaNb2BC4

---

Please write out number 1 again, unchanged.
PaNb2BC4: optimized geometry, PBE.

Computed properties:
energy of formation = -0.266 eV/atom
total magnetization = 0.000 μB per atom
uncorrected energy = -9.417 eV/atom

Lattice parameters (Å, degrees): 3.177 10.561 10.728 90.00 90.00 90.00
Space group Cmcm (No. 63)
Asymmetric unit:
Pa 0.000 0.098 0.250
Nb 0.000 0.367 0.047
B 0.000 0.173 0.750
C 0.000 0.000 0.000
C 0.000 0.267 0.628
C 0.000 0.419 0.250

---

> Which value of uncorrected energy does entry 1 give?

-9.417 eV/atom